[1]
Density functional theory data (PBE) for an optimized crystal structure of CaAcGe2Pt2.

a b c (Å): 4.349 4.349 8.562
angles (deg): 90.00 90.00 120.00
Sites, in units of the cell vectors:
Ca 0.000 0.000 0.000
Ac 0.000 0.000 0.500
Ge 0.333 0.667 0.767
Ge 0.667 0.333 0.233
Pt 0.333 0.667 0.241
Pt 0.667 0.333 0.759

Properties
As for the formation energy: -546 kJ/mol of formula units.

---

[2]
Density functional theory data (PBE) for an optimized crystal structure of Ca2Ac2GePt4.

a b c (Å): 6.650 6.650 6.650
angles (deg): 114.42 114.42 99.97
Sites, in units of the cell vectors:
Ca 0.172 0.172 0.000
Ca 0.828 0.828 0.000
Ac 0.250 0.750 0.500
Ac 0.750 0.250 0.500
Ge 0.500 0.500 0.000
Pt 0.255 0.255 0.509
Pt 0.255 0.745 0.000
Pt 0.745 0.255 0.000
Pt 0.745 0.745 0.491

Properties
As for the formation energy: -671 kJ/mol of formula units.

---

[3]
Density functional theory data (PBE) for an optimized crystal structure of CaAcGeRh.

a b c (Å): 8.029 8.029 8.029
angles (deg): 31.33 31.33 31.33
Sites, in units of the cell vectors:
Ca 0.000 0.000 0.000
Ac 0.831 0.831 0.831
Ge 0.591 0.591 0.591
Rh 0.243 0.243 0.243

Properties
As for the formation energy: -232 kJ/mol of formula units. Its energy above the most stable polymorph in this dataset is 0.0000 eV per atom.

---

[4]
Density functional theory data (PBE) for an optimized crystal structure of CaAcGeRh.

a b c (Å): 5.226 5.226 5.226
angles (deg): 60.00 60.00 60.00
Sites, in units of the cell vectors:
Ca 0.000 0.000 0.000
Ac 0.500 0.500 0.500
Ge 0.750 0.750 0.750
Rh 0.250 0.250 0.250

Properties
As for the formation energy: -171 kJ/mol of formula units. Its energy above the most stable polymorph in this dataset is 0.1588 eV per atom.

---

[5]
Density functional theory data (PBE) for an optimized crystal structure of CaAcSiGe.

a b c (Å): 5.321 5.321 5.321
angles (deg): 60.00 60.00 60.00
Sites, in units of the cell vectors:
Ca 0.000 0.000 0.000
Ac 0.500 0.500 0.500
Si 0.250 0.250 0.250
Ge 0.750 0.750 0.750

Properties
As for the raw formation energy: -395 meV per atom. Its energy above the most stable polymorph in this dataset is 0.2134 eV per atom.

---

[6]
Density functional theory data (PBE) for an optimized crystal structure of CaAcSiGe.

a b c (Å): 4.074 6.180 6.180
angles (deg): 44.06 90.00 90.00
Sites, in units of the cell vectors:
Ca 0.000 0.000 0.000
Ac 0.500 0.279 0.279
Si 0.000 0.702 0.702
Ge 0.500 0.561 0.561

Properties
As for the raw formation energy: -608 meV per atom. Its energy above the most stable polymorph in this dataset is 0.0000 eV per atom.

---

[7]
Density functional theory data (PBE) for an optimized crystal structure of CaAcSnGe.

a b c (Å): 5.520 5.520 5.520
angles (deg): 60.00 60.00 60.00
Sites, in units of the cell vectors:
Ca 0.000 0.000 0.000
Ac 0.500 0.500 0.500
Sn 0.250 0.250 0.250
Ge 0.750 0.750 0.750

Properties
As for the formation energy: -202 kJ/mol of formula units. Its energy above the most stable polymorph in this dataset is 0.1473 eV per atom.

---

[8]
Density functional theory data (PBE) for an optimized crystal structure of CaAcSnGe.

a b c (Å): 4.267 6.416 6.416
angles (deg): 44.07 90.00 90.00
Sites, in units of the cell vectors:
Ca 0.000 0.000 0.000
Ac 0.500 0.277 0.277
Sn 0.500 0.559 0.559
Ge 0.000 0.720 0.720

Properties
As for the formation energy: -259 kJ/mol of formula units. Its energy above the most stable polymorph in this dataset is 0.0000 eV per atom.

---

[9]
Density functional theory data (PBE) for an optimized crystal structure of CaAcZnGe.

a b c (Å): 5.366 5.366 5.366
angles (deg): 60.00 60.00 60.00
Sites, in units of the cell vectors:
Ca 0.000 0.000 0.000
Ac 0.500 0.500 0.500
Zn 0.750 0.750 0.750
Ge 0.250 0.250 0.250

Properties
As for the formation energy: -171 kJ/mol of formula units.

---

[10]
Density functional theory data (PBE) for an optimized crystal structure of CaAc2Zn3Ge4.

a b c (Å): 4.594 4.594 11.073
angles (deg): 90.00 90.00 90.00
Sites, in units of the cell vectors:
Ca 0.000 0.000 0.000
Ac 0.000 0.500 0.725
Ac 0.500 0.000 0.275
Zn 0.000 0.500 0.386
Zn 0.500 0.000 0.614
Zn 0.500 0.500 0.000
Ge 0.000 0.000 0.500
Ge 0.000 0.500 0.158
Ge 0.500 0.000 0.842
Ge 0.500 0.500 0.500

Properties
As for the formation energy: -457 kJ/mol of formula units.

---

[11]
Density functional theory data (PBE) for an optimized crystal structure of CaAc3H.

a b c (Å): 5.581 5.581 5.581
angles (deg): 90.00 90.00 90.00
Sites, in units of the cell vectors:
Ca 0.000 0.000 0.000
Ac 0.000 0.500 0.500
Ac 0.500 0.000 0.500
Ac 0.500 0.500 0.000
H 0.500 0.500 0.500

Properties
The calculated total energy comes out at -3.654 eV per atom.

---

[12]
Density functional theory data (PBE) for an optimized crystal structure of Ca2AcH.

a b c (Å): 9.887 9.887 9.887
angles (deg): 22.22 22.22 22.22
Sites, in units of the cell vectors:
Ca 0.000 0.000 0.000
Ca 0.230 0.230 0.230
Ac 0.782 0.782 0.782
H 0.617 0.617 0.617

Properties
Its energy above the most stable polymorph in this dataset is 0.0102 eV per atom.

---

Sequential calculated density output: 9.50, 10.38, 5.92, 7.28, 5.73, 5.64, 6.40, 6.23, 6.16, 6.97, 6.90, 4.22 g cm⁻³
Sequential D(E_F) output: 5.50, 5.18, 3.12, 2.81, 2.20, 2.25, 2.54, 2.42, 3.16, 4.17, 4.62, 2.69 states/eV/cell